No. 1
Here is an optimized crystal structure of Sc4Ni3Ir from Alexandria via LeMat-Bulk. Energies are from PBE-GGA.

abc: 3.124 4.562 9.109
angles: 90.00 90.00 90.00
Fractional positions:
Sc1 0.000 0.000 0.000
Sc2 0.000 0.000 0.500
Sc3 0.000 0.500 0.247
Sc4 0.000 0.500 0.753
Ni1 0.500 0.000 0.250
Ni2 0.500 0.000 0.750
Ni3 0.500 0.500 0.000
Ir1 0.500 0.500 0.500

Properties
density of states at the Fermi level	4.94	states/eV/f.u.
formation energy	-0.64	eV per atom
final energy	-56.67	eV/cell

---

No. 2
Here is an optimized crystal structure of ScNiIr from Alexandria via LeMat-Bulk. Energies are from PBE-GGA.

abc: 2.938 2.938 6.210
angles: 90.00 90.00 120.00
Fractional positions:
Sc1 0.000 0.000 0.000
Ni1 0.333 0.667 0.673
Ir1 0.667 0.333 0.335

Properties
relative energy among the computed polymorphs	175	kJ/mol of formula units
density of states at the Fermi level	3.06	states/eV/f.u.
formation energy	-0.10	eV per atom
final energy	-21.27	eV/cell

---

No. 3
Here is an optimized crystal structure of ScNiIr from Alexandria via LeMat-Bulk. Energies are from PBE-GGA.

abc: 4.145 4.145 3.234
angles: 90.00 90.00 120.00
Fractional positions:
Sc1 0.000 0.000 0.000
Ni1 0.333 0.667 0.500
Ir1 0.667 0.333 0.500

Properties
relative energy among the computed polymorphs	64	kJ/mol of formula units
density of states at the Fermi level	2.75	states/eV/f.u.
formation energy	-0.48	eV per atom
final energy	-22.41	eV/cell

---

No. 4
Here is an optimized crystal structure of Sc6Ni5Ir from Alexandria via LeMat-Bulk. Energies are from PBE-GGA.

abc: 7.143 7.143 6.315
angles: 90.00 90.00 143.08
Fractional positions:
Sc1 0.000 0.000 0.248
Sc2 0.000 0.000 0.752
Sc3 0.333 0.667 0.250
Sc4 0.333 0.667 0.750
Sc5 0.667 0.333 0.250
Sc6 0.667 0.333 0.750
Ni1 0.166 0.834 0.000
Ni2 0.166 0.834 0.500
Ni3 0.500 0.500 0.000
Ni4 0.834 0.166 0.000
Ni5 0.834 0.166 0.500
Ir1 0.500 0.500 0.500

Properties
density of states at the Fermi level	6.81	states/eV/f.u.
formation energy	-0.60	eV per atom
final energy	-82.97	eV/cell

---

No. 5
Here is an optimized crystal structure of Sc5Ni2Ir from Alexandria via LeMat-Bulk. Energies are from PBE-GGA.

abc: 8.336 8.336 8.336
angles: 133.53 133.53 67.82
Fractional positions:
Sc1 0.000 0.000 0.000
Sc2 0.027 0.527 0.850
Sc3 0.178 0.027 0.500
Sc4 0.322 0.822 0.850
Sc5 0.473 0.322 0.500
Sc6 0.500 0.500 0.000
Sc7 0.527 0.678 0.500
Sc8 0.678 0.178 0.150
Sc9 0.822 0.973 0.500
Sc10 0.973 0.473 0.150
Ni1 0.125 0.375 0.500
Ni2 0.375 0.875 0.250
Ni3 0.625 0.125 0.750
Ni4 0.875 0.625 0.500
Ir1 0.250 0.250 0.000
Ir2 0.750 0.750 0.000

Properties
density of states at the Fermi level	7.47	states/eV/f.u.
formation energy	-0.57	eV per atom
final energy	-113.23	eV/cell

---

No. 6
Here is an optimized crystal structure of ScNiIr from Alexandria via LeMat-Bulk. Energies are from PBE-GGA.

abc: 5.236 5.236 5.236
angles: 133.17 105.16 93.11
Fractional positions:
Sc1 0.000 0.000 0.000
Sc2 0.596 0.096 0.500
Ni1 0.176 0.382 0.795
Ni2 0.587 0.382 0.205
Ir1 0.428 0.709 0.719
Ir2 0.990 0.709 0.281

Properties
relative energy among the computed polymorphs	51	kJ/mol of formula units
density of states at the Fermi level	1.83	states/eV/f.u.
formation energy	-0.52	eV per atom
final energy	-45.10	eV/cell

---

No. 7
Here is an optimized crystal structure of ScNiIr from Alexandria via LeMat-Bulk. Energies are from PBE-GGA.

abc: 4.643 4.945 4.951
angles: 62.20 76.13 78.06
Fractional positions:
Sc1 0.000 0.000 0.000
Sc2 0.317 0.634 0.607
Ni1 0.722 0.023 0.555
Ni2 0.845 0.521 0.532
Ir1 0.244 0.272 0.283
Ir2 0.732 0.521 0.048

Properties
relative energy among the computed polymorphs	59	kJ/mol of formula units
density of states at the Fermi level	1.99	states/eV/f.u.
formation energy	-0.50	eV per atom
final energy	-44.94	eV/cell

---

No. 8
Here is an optimized crystal structure of Sc4NiIr3 from Alexandria via LeMat-Bulk. Energies are from PBE-GGA.

abc: 7.307 7.307 7.307
angles: 144.06 144.06 51.73
Fractional positions:
Sc1 0.124 0.624 0.500
Sc2 0.376 0.876 0.500
Sc3 0.624 0.124 0.500
Sc4 0.876 0.376 0.500
Ni1 0.000 0.000 0.000
Ir1 0.249 0.249 0.000
Ir2 0.500 0.500 0.000
Ir3 0.751 0.751 0.000

Properties
density of states at the Fermi level	3.34	states/eV/f.u.
formation energy	-0.91	eV per atom
final energy	-64.96	eV/cell